A relaxed structure of NaSc3Cl8. Source: the Alexandria database, functional PBE-GGA.

Output
DFT total energy, eV/cell: -58.4
Magnetic moment, Bohr magnetons per cell: 2.1

a = 7.529 Å, b = 7.537 Å, c = 7.994 Å
α = 118.91°, β = 90.00°, γ = 119.97°
Atoms (fractional coordinates):
Sc1 0.500 0.000 0.000
Cl1 0.277 0.027 0.782
Cl2 0.250 0.973 0.218
Sc2 0.500 0.500 0.000
Cl3 0.743 0.485 0.223
Cl4 0.750 0.027 0.782
Cl5 0.723 0.973 0.218
Cl6 0.750 0.500 0.782
Sc3 0.000 0.500 0.000
Na1 0.000 0.000 0.000
Cl7 0.257 0.515 0.777
Cl8 0.250 0.500 0.218



A relaxed structure of Na2ScCl. Source: the Alexandria database, functional PBE-GGA.

Output
DFT total energy, eV/cell: -10.3
Magnetic moment, Bohr magnetons per cell: 1.9
Relative energy among the computed polymorphs, meV/atom: 389

a = 5.594 Å, b = 5.594 Å, c = 5.594 Å
α = 60.00°, β = 60.00°, γ = 60.00°
Atoms (fractional coordinates):
Na1 0.250 0.250 0.250
Cl1 0.000 0.000 0.000
Na2 0.750 0.750 0.750
Sc1 0.500 0.500 0.500